Here is crystalline Cs2TiGaBr6 at its relaxed geometry from the Alexandria database. Energies are from GGA-PBE.

formation energy from raw total energies	-1.3278	eV per atom
magnetic moment	1.000	μB per formula unit
E	-3.594	eV per atom
space group	No. 225

a = 7.977 Å, b = 7.977 Å, c = 7.977 Å
α = 60.00°, β = 60.00°, γ = 60.00°
Fractional positions:
Cs (0.250, 0.250, 0.250)
Cs (0.750, 0.750, 0.750)
Ti (0.000, 0.000, 0.000)
Ga (0.500, 0.500, 0.500)
Br (0.231, 0.231, 0.769)
Br (0.231, 0.769, 0.231)
Br (0.231, 0.769, 0.769)
Br (0.769, 0.231, 0.231)
Br (0.769, 0.231, 0.769)
Br (0.769, 0.769, 0.231)